(1)
The following is a DFT calculation (PBE) of crystalline ErLuTcHg at its relaxed geometry.

Unit cell a=4.9655 b=4.9655 c=4.9655 alpha=60.00 beta=60.00 gamma=60.00
Closest atoms and distances in Å follow each position.
Sites, in units of the cell vectors:
1 Er 0.0000 0.0000 0.0000  4 Hg 3.04, 4 Tc 3.04
2 Lu 0.5000 0.5000 0.5000  4 Hg 3.04, 4 Tc 3.04
3 Tc 0.2500 0.2500 0.2500  4 Er 3.04, 4 Lu 3.04
4 Hg 0.7500 0.7500 0.7500  4 Er 3.04, 4 Lu 3.04

Values from the calculation:
final energy = -5.132 eV/atom
space group = No. 216
ΔH_f (0 K) = -194.2 meV per atom
total magnetization = 0.00 μB per cell
V = 86.6 Å³/cell


(2)
The following is a DFT calculation (PBE) of crystalline Pm2BeSb at its relaxed geometry.

Unit cell a=4.9793 b=4.9793 c=4.1007 alpha=90.00 beta=90.00 gamma=90.00
Closest atoms and distances in Å follow each position.
Sites, in units of the cell vectors:
1 Pm 0.0000 0.5000 0.0000  4 Sb 3.23, 4 Be 3.23, 4 Pm 3.52
2 Pm 0.5000 0.0000 0.0000  4 Sb 3.23, 4 Be 3.23, 4 Pm 3.52
3 Be 0.0000 0.0000 0.5000  8 Pm 3.23, 4 Sb 3.52
4 Sb 0.5000 0.5000 0.5000  8 Pm 3.23, 4 Be 3.52

Values from the calculation:
final energy = -4.636 eV/atom
energy above the lowest structure with this stoichiometry = 0.0 kJ/mol of atoms
space group = No. 123
total magnetization = 0.00 μB per cell
formation energy (no corrections) = -0.30 eV/atom
V = 101.7 Å³/cell


(3)
The following is a DFT calculation (PBE) of crystalline Ca2GaCu2 at its relaxed geometry.

Unit cell a=5.3798 b=5.3798 c=5.3798 alpha=116.83 beta=116.83 gamma=95.59
Closest atoms and distances in Å follow each position.
Sites, in units of the cell vectors:
1 Ca 0.2500 0.7500 0.5000  4 Cu 2.89
2 Ca 0.7500 0.2500 0.5000  4 Cu 2.89
3 Ga 0.0000 0.0000 0.0000  2 Cu 2.45
4 Cu 0.3394 0.3394 0.0000  1 Cu 2.32, 1 Ga 2.45
5 Cu 0.6606 0.6606 0.0000  1 Cu 2.32, 1 Ga 2.45

Values from the calculation:
final energy = -3.152 eV/atom
space group = No. 139
ΔH_f (0 K) = -108.0 meV per atom
total magnetization = 0.00 μB per cell
V = 114.8 Å³/cell


(4)
The following is a DFT calculation (PBE) of crystalline ZnFe2Os at its relaxed geometry.

Unit cell a=4.9620 b=4.9620 c=4.9620 alpha=146.79 beta=128.69 gamma=62.50
Closest atoms and distances in Å follow each position.
Sites, in units of the cell vectors:
1 Zn 0.0000 0.0000 0.0000  6 Fe 2.57-2.58, 2 Os 2.68, 2 Zn 2.84
2 Fe 0.2529 0.7529 0.5000  2 Fe 2.42, 2 Zn 2.57, 4 Os 2.58
3 Fe 0.4840 0.4840 0.0000  2 Fe 2.42, 2 Os 2.54, 4 Zn 2.58
4 Os 0.7318 0.2318 0.5000  6 Fe 2.54-2.58, 2 Zn 2.68, 2 Os 2.84

Values from the calculation:
final energy = -7.210 eV/atom
space group = No. 44
ΔH_f (0 K) = 147.5 meV per atom
total magnetization = 5.14 μB per cell
V = 51.7 Å³/cell


(5)
The following is a DFT calculation (PBE) of crystalline CeMgCd5Ag2 at its relaxed geometry.

Unit cell a=5.1880 b=5.1880 c=8.1659 alpha=90.00 beta=90.00 gamma=90.00
Closest atoms and distances in Å follow each position.
Sites, in units of the cell vectors:
1 Ce 0.0000 0.0000 0.0000  12 Cd 3.29-3.67
2 Mg 0.0000 0.0000 0.5000  8 Cd 3.31
3 Cd 0.0000 0.5000 0.2486  2 Ag 2.70
4 Cd 0.0000 0.5000 0.7514  2 Ag 2.70
5 Cd 0.5000 0.0000 0.2486  2 Ag 2.70
6 Cd 0.5000 0.0000 0.7514  2 Ag 2.70
7 Cd 0.5000 0.5000 0.0000  2 Ag 2.78
8 Ag 0.5000 0.5000 0.3405  1 Ag 2.61, 5 Cd 2.70-2.78
9 Ag 0.5000 0.5000 0.6595  1 Ag 2.61, 5 Cd 2.70-2.78

Values from the calculation:
final energy = -1.935 eV/atom
space group = No. 123
ΔH_f (0 K) = 43.6 meV per atom
total magnetization = 1.30 μB per cell
V = 219.8 Å³/cell


(6)
The following is a DFT calculation (PBE) of crystalline Ta2SiTe at its relaxed geometry.

Unit cell a=6.9166 b=6.9166 c=6.9166 alpha=31.58 beta=31.58 gamma=31.58
Closest atoms and distances in Å follow each position.
Sites, in units of the cell vectors:
1 Ta 0.2274 0.2274 0.2274  3 Si 2.48
2 Ta 0.7726 0.7726 0.7726  3 Si 2.48
3 Si 0.5000 0.5000 0.5000  6 Ta 2.48
4 Te 0.0000 0.0000 0.0000  6 Ta 3.01

Values from the calculation:
final energy = -8.054 eV/atom
energy above the lowest structure with this stoichiometry = 18.2 kJ/mol of atoms
space group = No. 166
total magnetization = 0.00 μB per cell
formation energy (no corrections) = 0.01 eV/atom
V = 80.6 Å³/cell


(7)
The following is a DFT calculation (PBE) of crystalline Be5Ni3 at its relaxed geometry.

Unit cell a=6.3891 b=6.3891 c=4.1859 alpha=90.00 beta=90.00 gamma=120.00
Closest atoms and distances in Å follow each position.
Sites, in units of the cell vectors:
1 Be 0.0000 0.2333 0.2500  5 Ni 2.19-2.38
2 Be 0.0000 0.7667 0.7500  5 Ni 2.19-2.38
3 Be 0.2333 0.0000 0.2500  5 Ni 2.19-2.38
4 Be 0.2333 0.2333 0.7500  5 Ni 2.19-2.38
5 Be 0.3333 0.6667 0.0000  2 Be 2.09, 6 Ni 2.23
6 Be 0.3333 0.6667 0.5000  2 Be 2.09, 6 Ni 2.23
7 Be 0.6667 0.3333 0.0000  2 Be 2.09, 6 Ni 2.23
8 Be 0.6667 0.3333 0.5000  2 Be 2.09, 6 Ni 2.23
9 Be 0.7667 0.0000 0.7500  5 Ni 2.19-2.38
10 Be 0.7667 0.7667 0.2500  5 Ni 2.19-2.38
11 Ni 0.0000 0.3935 0.7500  9 Be 2.19-2.38
12 Ni 0.0000 0.6065 0.2500  9 Be 2.19-2.38
13 Ni 0.3935 0.0000 0.7500  9 Be 2.19-2.38
14 Ni 0.3935 0.3935 0.2500  9 Be 2.19-2.38
15 Ni 0.6065 0.0000 0.2500  9 Be 2.19-2.38
16 Ni 0.6065 0.6065 0.7500  9 Be 2.19-2.38

Values from the calculation:
final energy = -4.663 eV/atom
energy above the lowest structure with this stoichiometry = 18.4 kJ/mol of atoms
space group = No. 193
ΔH_f (0 K) = -166.2 meV per atom
total magnetization = 0.00 μB per cell
V = 148.0 Å³/cell


(8)
The following is a DFT calculation (PBE) of crystalline Ba3CaNi at its relaxed geometry.

Unit cell a=6.2159 b=6.2159 c=6.2159 alpha=90.00 beta=90.00 gamma=90.00
Closest atoms and distances in Å follow each position.
Sites, in units of the cell vectors:
1 Ba 0.0000 0.0000 0.5000  2 Ni 3.11
2 Ba 0.0000 0.5000 0.0000  2 Ni 3.11
3 Ba 0.5000 0.0000 0.0000  2 Ni 3.11
4 Ca 0.5000 0.5000 0.5000  12 Ba 4.40
5 Ni 0.0000 0.0000 0.0000  6 Ba 3.11

Values from the calculation:
final energy = -2.674 eV/atom
energy above the lowest structure with this stoichiometry = 0.0 kJ/mol of atoms
space group = No. 221
ΔH_f (0 K) = 35.8 meV per atom
total magnetization = 0.00 μB per cell
V = 240.2 Å³/cell


Q: Which value of final energy does entry 3 give?
A: -3.152 eV/atom


What did the second record say?
The following is a DFT calculation (PBE) of crystalline Pm2BeSb at its relaxed geometry.

Unit cell a=4.9793 b=4.9793 c=4.1007 alpha=90.00 beta=90.00 gamma=90.00
Closest atoms and distances in Å follow each position.
Sites, in units of the cell vectors:
1 Pm 0.0000 0.5000 0.0000  4 Sb 3.23, 4 Be 3.23, 4 Pm 3.52
2 Pm 0.5000 0.0000 0.0000  4 Sb 3.23, 4 Be 3.23, 4 Pm 3.52
3 Be 0.0000 0.0000 0.5000  8 Pm 3.23, 4 Sb 3.52
4 Sb 0.5000 0.5000 0.5000  8 Pm 3.23, 4 Be 3.52

Values from the calculation:
final energy = -4.636 eV/atom
energy above the lowest structure with this stoichiometry = 0.0 kJ/mol of atoms
space group = No. 123
total magnetization = 0.00 μB per cell
formation energy (no corrections) = -0.30 eV/atom
V = 101.7 Å³/cell